# KAg3O3 PBE-GGA relaxed
data_KAg3O3
_space_group_name_H-M_alt 'R -3'
_space_group_IT_number 148
_space_group_name_Hall '-R 3'
_cell_length_a 6.1964
_cell_length_b 6.1964
_cell_length_c 22.4140
_cell_angle_alpha 90.00
_cell_angle_beta 90.00
_cell_angle_gamma 120.00
loop_
_atom_site_label
_atom_site_type_symbol
_atom_site_fract_x
_atom_site_fract_y
_atom_site_fract_z
K1 K 0.0000 0.0000 0.1669
Ag1 Ag 0.0019 0.7373 0.6088
O1 O 0.0017 0.6158 0.4072
# Calculated volume (Å³/cell): 745.3
# Energy relative to the elements, uncorrected (meV per atom): -261.4
# Crystal system: trigonal
# Energy (eV per cell): -158.14